(1)
Computed, not measured: a relaxed Te3Pb crystal at the GGA-PBE level of DFT.

a = 6.3411 Å, b = 3.1887 Å, c = 6.2152 Å
α = 89.96°, β = 90.00°, γ = 90.00°
Positions (direct):
Pb (0.0000, 0.0000, 0.0000)
Te (0.5000, 0.0010, 0.7572)
Te (0.0000, 0.5000, 0.5000)
Te (0.5000, 0.9990, 0.2428)

Properties
V in Å³ per cell: 125.7
Total energy in eV per atom: -3.198
Formation energy without anion corrections in eV per formula unit: 0.34
SG: Pmmm (47)

(2)
Computed, not measured: a relaxed La2PmSm2Er2 crystal at the GGA-PBE level of DFT.

a = 5.1266 Å, b = 6.2814 Å, c = 8.1554 Å
α = 97.33°, β = 90.00°, γ = 114.08°
Positions (direct):
La (0.1420, 0.2841, 0.4263)
La (0.8580, 0.7159, 0.5737)
Pm (0.0000, 0.0000, 0.0000)
Sm (0.7156, 0.4311, 0.1402)
Sm (0.2844, 0.5689, 0.8598)
Er (0.5708, 0.1416, 0.7163)
Er (0.4292, 0.8584, 0.2837)

Properties
V in Å³ per cell: 237.4
Total energy in eV per atom: -4.713
ΔH_f (0 K) in meV per atom: 26
SG: C2/m (12)

(3)
Computed, not measured: a relaxed SnHg2Bi crystal at the GGA-PBE level of DFT.

a = 5.0535 Å, b = 4.6627 Å, c = 4.6627 Å
α = 90.00°, β = 90.00°, γ = 90.00°
Positions (direct):
Bi (0.5000, 0.5000, 0.5000)
Sn (0.5000, 0.0000, 0.0000)
Hg (0.0000, 0.0000, 0.5000)
Hg (0.0000, 0.5000, 0.0000)

Properties
V in Å³ per cell: 109.9
Total energy in eV per atom: -2.030
ΔH_f (0 K) in meV per atom: 92
SG: P4/mmm (123)

(4)
Computed, not measured: a relaxed HfTlAu crystal at the GGA-PBE level of DFT.

a = 8.4307 Å, b = 6.1997 Å, c = 4.8702 Å
α = 90.00°, β = 90.00°, γ = 90.00°
Positions (direct):
Hf (0.3335, 0.2500, 0.0000)
Hf (0.1665, 0.7500, 0.5000)
Hf (0.6665, 0.7500, 0.0000)
Hf (0.8335, 0.2500, 0.5000)
Tl (0.0000, 0.0000, 0.0000)
Tl (0.5000, 0.5000, 0.5000)
Tl (0.5000, 0.0000, 0.5000)
Tl (0.0000, 0.5000, 0.0000)
Au (0.6668, 0.2500, 0.0000)
Au (0.8332, 0.7500, 0.5000)
Au (0.3332, 0.7500, 0.0000)
Au (0.1668, 0.2500, 0.5000)

Properties
V in Å³ per cell: 254.6
Total energy in eV per atom: -5.298
ΔH_f (0 K) in meV per atom: -99
SG: P6_3/mmc (194)

(5)
Computed, not measured: a relaxed NaSr2Tl crystal at the GGA-PBE level of DFT.

a = 5.9361 Å, b = 5.9361 Å, c = 5.9361 Å
α = 60.00°, β = 60.00°, γ = 60.00°
Positions (direct):
Sr (0.2500, 0.2500, 0.2500)
Sr (0.7500, 0.7500, 0.7500)
Tl (0.5000, 0.5000, 0.5000)
Na (0.0000, 0.0000, 0.0000)

Properties
Offset from the most stable computed form in meV per atom: 10
V in Å³ per cell: 147.9
Total energy in eV per atom: -1.981
ΔH_f (0 K) in meV per atom: -219
SG: Fm-3m (225)

(6)
Computed, not measured: a relaxed Ni2PtSeCl crystal at the GGA-PBE level of DFT.

a = 3.9493 Å, b = 6.2657 Å, c = 3.9493 Å
α = 90.00°, β = 90.00°, γ = 90.00°
Positions (direct):
Ni (0.0000, 0.0000, 0.5000)
Ni (0.5000, 0.0000, 0.0000)
Se (0.0000, 0.5000, 0.0000)
Pt (0.5000, 0.5000, 0.5000)
Cl (0.0000, 0.0000, 0.0000)

Properties
V in Å³ per cell: 97.7
Total energy in eV per atom: -3.798
Formation energy without anion corrections in eV per formula unit: 3.95
SG: P4/mmm (123)

(7)
Computed, not measured: a relaxed CaGa2Pb2 crystal at the GGA-PBE level of DFT.

a = 4.7203 Å, b = 4.7203 Å, c = 7.2141 Å
α = 70.90°, β = 70.90°, γ = 90.00°
Positions (direct):
Pb (0.7500, 0.2500, 0.5000)
Pb (0.2500, 0.7500, 0.5000)
Ca (0.0000, 0.0000, 0.0000)
Ga (0.4024, 0.4024, 0.1951)
Ga (0.5976, 0.5976, 0.8049)

Properties
Offset from the most stable computed form in meV per atom: 46
V in Å³ per cell: 142.5
Total energy in eV per atom: -3.219
ΔH_f (0 K) in meV per atom: -124
SG: I4/mmm (139)

(8)
Computed, not measured: a relaxed Pr2Ga3Pd12Au crystal at the GGA-PBE level of DFT.

a = 6.9525 Å, b = 6.9525 Å, c = 6.9525 Å
α = 84.31°, β = 84.31°, γ = 84.31°
Positions (direct):
Pr (0.6535, 0.6535, 0.6535)
Pr (0.3465, 0.3465, 0.3465)
Ga (0.5000, 0.0000, 0.0000)
Ga (0.0000, 0.5000, 0.0000)
Ga (0.0000, 0.0000, 0.5000)
Pd (0.3861, 0.3861, 0.9036)
Pd (0.8122, 0.8122, 0.3095)
Pd (0.3095, 0.8122, 0.8122)
Pd (0.9036, 0.3861, 0.3861)
Pd (0.8122, 0.3095, 0.8122)
Pd (0.3861, 0.9036, 0.3861)
Pd (0.6139, 0.6139, 0.0964)
Pd (0.1878, 0.1878, 0.6905)
Pd (0.6905, 0.1878, 0.1878)
Pd (0.0964, 0.6139, 0.6139)
Pd (0.1878, 0.6905, 0.1878)
Pd (0.6139, 0.0964, 0.6139)
Au (0.0000, 0.0000, 0.0000)

Properties
V in Å³ per cell: 331.4
Total energy in eV per atom: -5.072
ΔH_f (0 K) in meV per atom: -393
SG: R-3m (166)

(9)
Computed, not measured: a relaxed Co3TeCl crystal at the GGA-PBE level of DFT.

a = 4.8467 Å, b = 4.8467 Å, c = 4.8467 Å
α = 90.00°, β = 90.00°, γ = 90.00°
Site moments in Bohr magnetons follow the coordinates.
Positions (direct):
Te (0.0000, 0.0000, 0.0000)  0.02
Co (0.0000, 0.5000, 0.0000)  1.98
Co (0.0000, 0.0000, 0.5000)  1.65
Co (0.5000, 0.0000, 0.0000)  2.12
Cl (0.5000, 0.5000, 0.5000)  0.15

Properties
Offset from the most stable computed form in meV per atom: 214
V in Å³ per cell: 113.9
Total energy in eV per atom: -4.275
Formation energy without anion corrections in eV per formula unit: 4.93
SG: Pm-3m (221)

(10)
Computed, not measured: a relaxed NaIrO crystal at the GGA-PBE level of DFT.

a = 3.0679 Å, b = 7.7566 Å, c = 3.4522 Å
α = 90.00°, β = 90.00°, γ = 90.00°
Positions (direct):
Na (0.0000, 0.1376, 0.5000)
Na (0.5000, 0.8624, 0.0000)
Ir (0.0000, 0.5744, 0.5000)
Ir (0.5000, 0.4256, 0.0000)
O (0.0000, 0.8226, 0.5000)
O (0.5000, 0.1774, 0.0000)

Properties
Offset from the most stable computed form in meV per atom: 0
V in Å³ per cell: 82.2
Total energy in eV per atom: -5.777
Formation energy without anion corrections in eV per formula unit: -2.19
SG: Pmmn (59)

(11)
Computed, not measured: a relaxed KSbO crystal at the GGA-PBE level of DFT.

a = 4.1375 Å, b = 6.6648 Å, c = 7.1745 Å
α = 116.58°, β = 106.25°, γ = 90.77°
Positions (direct):
K (0.1729, 0.4891, 0.2242)
K (0.3574, 0.0922, 0.6252)
Sb (0.5974, 0.9484, 0.0851)
Sb (0.9551, 0.6869, 0.8029)
O (0.9318, 0.3824, 0.7649)
O (0.8206, 0.6792, 0.5203)

Properties
Offset from the most stable computed form in meV per atom: 18
V in Å³ per cell: 167.6
Total energy in eV per atom: -4.431
Formation energy without anion corrections in eV per formula unit: -3.12
SG: P1 (1)

(12)
Computed, not measured: a relaxed YTcOF2 crystal at the GGA-PBE level of DFT.

a = 4.4081 Å, b = 4.4081 Å, c = 4.4202 Å
α = 90.00°, β = 90.00°, γ = 90.00°
Site moments in Bohr magnetons follow the coordinates.
Positions (direct):
Y (0.0000, 0.0000, 0.0000)  0.00
Tc (0.5000, 0.5000, 0.5000)  3.71
O (0.0000, 0.0000, 0.5000)  0.06
F (0.0000, 0.5000, 0.0000)  0.03
F (0.5000, 0.0000, 0.0000)  0.03

Properties
Offset from the most stable computed form in meV per atom: 0
V in Å³ per cell: 85.9
Total energy in eV per atom: -6.871
Formation energy without anion corrections in eV per formula unit: -8.82
SG: P4/mmm (123)

(13)
Computed, not measured: a relaxed AcLaNi crystal at the GGA-PBE level of DFT.

a = 7.5616 Å, b = 7.4280 Å, c = 7.5803 Å
α = 63.01°, β = 90.00°, γ = 90.00°
Positions (direct):
Ac (0.1720, 0.7231, 0.9414)
Ac (0.3280, 0.7231, 0.4414)
Ac (0.8280, 0.2769, 0.0586)
Ac (0.6720, 0.2769, 0.5586)
La (0.6713, 0.7642, 0.0405)
La (0.3287, 0.2358, 0.9595)
La (0.1713, 0.2358, 0.4595)
La (0.8287, 0.7642, 0.5405)
Ni (0.5497, 0.5624, 0.8117)
Ni (0.4503, 0.4376, 0.1883)
Ni (0.9503, 0.5624, 0.3117)
Ni (0.0497, 0.4376, 0.6883)

Properties
Offset from the most stable computed form in meV per atom: 67
V in Å³ per cell: 379.4
Total energy in eV per atom: -5.080
ΔH_f (0 K) in meV per atom: -141
SG: P2_1/c (14)

(14)
Computed, not measured: a relaxed Fe15Co4Ru crystal at the GGA-PBE level of DFT.

a = 3.5256 Å, b = 3.5256 Å, c = 17.9130 Å
α = 90.00°, β = 90.00°, γ = 90.00°
Site moments in Bohr magnetons follow the coordinates.
Positions (direct):
Fe (0.5000, 0.5000, 0.0000)  1.09
Fe (0.5000, 0.5000, 0.1947)  2.01
Fe (0.5000, 0.5000, 0.4059)  2.19
Fe (0.5000, 0.5000, 0.5941)  2.19
Fe (0.5000, 0.5000, 0.8053)  2.01
Fe (0.5000, 0.0000, 0.1004)  0.68
Fe (0.5000, 0.0000, 0.3001)  2.50
Fe (0.5000, 0.0000, 0.5000)  0.39
Fe (0.5000, 0.0000, 0.6999)  2.50
Fe (0.5000, 0.0000, 0.8996)  0.68
Fe (0.0000, 0.5000, 0.1004)  0.68
Fe (0.0000, 0.5000, 0.3001)  2.50
Fe (0.0000, 0.5000, 0.5000)  0.39
Fe (0.0000, 0.5000, 0.6999)  2.50
Fe (0.0000, 0.5000, 0.8996)  0.68
Co (0.0000, 0.0000, 0.1970)  1.25
Co (0.0000, 0.0000, 0.4044)  1.13
Co (0.0000, 0.0000, 0.5956)  1.13
Co (0.0000, 0.0000, 0.8030)  1.25
Ru (0.0000, 0.0000, 0.0000)  -0.20

Properties
V in Å³ per cell: 222.7
Total energy in eV per atom: -8.091
ΔH_f (0 K) in meV per atom: 141
SG: P4/mmm (123)

(15)
Computed, not measured: a relaxed Tb2Pm2Sn7 crystal at the GGA-PBE level of DFT.

a = 7.1186 Å, b = 7.1832 Å, c = 7.1186 Å
α = 90.00°, β = 99.98°, γ = 90.00°
Positions (direct):
Tb (0.8110, 0.5000, 0.8110)
Tb (0.1890, 0.5000, 0.1890)
Pm (0.7168, 0.0000, 0.2832)
Pm (0.2832, 0.0000, 0.7168)
Sn (0.9998, 0.2978, 0.5003)
Sn (0.5003, 0.7022, 0.9998)
Sn (0.0002, 0.7022, 0.4997)
Sn (0.4997, 0.2978, 0.0002)
Sn (0.0000, 0.0000, 0.0000)
Sn (0.5002, 0.6982, 0.4998)
Sn (0.4998, 0.3018, 0.5002)

Properties
V in Å³ per cell: 358.5
Total energy in eV per atom: -4.453
ΔH_f (0 K) in meV per atom: -200
SG: Cmmm (65)

(16)
Computed, not measured: a relaxed UAu2Br8 crystal at the GGA-PBE level of DFT.

a = 7.7987 Å, b = 7.5872 Å, c = 9.5699 Å
α = 59.96°, β = 65.95°, γ = 90.00°
Site moments in Bohr magnetons follow the coordinates.
Positions (direct):
U (0.0000, 0.0000, 0.0000)  0.35
Au (0.7639, 0.5792, 0.4723)  -0.02
Au (0.2361, 0.4208, 0.5277)  -0.02
Br (0.3393, 0.9737, 0.8021)  -0.02
Br (0.8587, 0.9737, 0.8021)  -0.02
Br (0.6607, 0.0263, 0.1979)  -0.02
Br (0.3772, 0.4387, 0.2457)  -0.02
Br (0.1413, 0.0263, 0.1979)  -0.02
Br (0.8990, 0.5598, 0.2019)  -0.01
Br (0.1010, 0.4402, 0.7981)  -0.01
Br (0.6228, 0.5613, 0.7543)  -0.02

Properties
V in Å³ per cell: 432.5
Total energy in eV per atom: -3.489
Formation energy without anion corrections in eV per formula unit: -7.16
SG: C2/m (12)